(1)
# Gd2HgP PBE optimized geometry
data_Gd2HgP
_chemical_formula_sum 'Gd6 Hg3 P3'
_cell_length_a 3.9750
_cell_length_b 3.9750
_cell_length_c 23.1863
_cell_angle_alpha 90.00
_cell_angle_beta 90.00
_cell_angle_gamma 120.00
_symmetry_space_group_name_H-M 'R -3 m'
_symmetry_Int_Tables_number 166
_symmetry_space_group_name_Hall '-R 3 2"'
loop_
_atom_site_label
_atom_site_fract_x
_atom_site_fract_y
_atom_site_fract_z
Gd1 0.0000 0.0000 0.2361
Hg1 0.0000 0.0000 0.0000
P1 0.0000 0.0000 0.5000
# Fermi-level density of states	3.19	states/eV/f.u.
# VASP energy	-9.452	eV per atom
# energy relative to the elements	-94.9	kJ per mole of atoms

=====

(2)
# TbHoNi2P2 PBE optimized geometry
data_TbHoNi2P2
_chemical_formula_sum 'Tb1 Ho1 Ni2 P2'
_cell_length_a 3.8853
_cell_length_b 3.8853
_cell_length_c 7.7782
_cell_angle_alpha 90.00
_cell_angle_beta 90.00
_cell_angle_gamma 120.00
_symmetry_space_group_name_H-M 'P -3 m 1'
_symmetry_Int_Tables_number 164
_symmetry_space_group_name_Hall '-P 3 2"'
loop_
_atom_site_label
_atom_site_fract_x
_atom_site_fract_y
_atom_site_fract_z
Tb1 0.0000 0.0000 0.0000
Ho1 0.0000 0.0000 0.5000
Ni1 0.3333 0.6667 0.7481
P1 0.3333 0.6667 0.2523
# Fermi-level density of states	2.76	states/eV/f.u.
# VASP energy	-6.486	eV per atom
# energy relative to the elements	-117.8	kJ per mole of atoms

=====

(3)
# MgCrCuIr PBE optimized geometry
data_MgCrCuIr
_chemical_formula_sum 'Mg4 Cr4 Cu4 Ir4'
_cell_length_a 6.104
_cell_length_b 6.104
_cell_length_c 6.104
_cell_angle_alpha 90.00
_cell_angle_beta 90.00
_cell_angle_gamma 90.00
_symmetry_space_group_name_H-M 'F -4 3 m'
_symmetry_Int_Tables_number 216
_symmetry_space_group_name_Hall 'F -4 2 3'
loop_
_atom_site_label
_atom_site_fract_x
_atom_site_fract_y
_atom_site_fract_z
Mg1 0.000 0.000 0.000
Cr1 0.000 0.000 0.500
Cu1 0.250 0.250 0.250
Ir1 0.250 0.250 0.750
# Fermi-level density of states	3.84	states/eV/f.u.
# VASP energy	-6.047	eV per atom
# energy relative to the elements	-0.3	kJ per mole of atoms

=====

(4)
# BeTlRu2Br PBE optimized geometry
data_BeTlRu2Br
_chemical_formula_sum 'Be1 Tl1 Ru2 Br1'
_cell_length_a 5.153
_cell_length_b 5.153
_cell_length_c 5.798
_cell_angle_alpha 90.00
_cell_angle_beta 90.00
_cell_angle_gamma 90.00
_symmetry_space_group_name_H-M 'P 4/m m m'
_symmetry_Int_Tables_number 123
_symmetry_space_group_name_Hall '-P 4 2'
loop_
_atom_site_label
_atom_site_fract_x
_atom_site_fract_y
_atom_site_fract_z
Be1 0.000 0.000 0.000
Tl1 0.500 0.500 0.500
Ru1 0.000 0.500 0.500
Br1 0.500 0.500 0.000
# raw formation energy	2.207	eV/atom
# Fermi-level density of states	7.40	states/eV/f.u.
# VASP energy	-3.057	eV per atom